# LaV3Ge PBE-GGA relaxed
data_LaV3Ge
_space_group_name_H-M_alt 'P 1'
_space_group_IT_number 1
_cell_length_a 4.807
_cell_length_b 4.807
_cell_length_c 4.807
_cell_angle_alpha 90.00
_cell_angle_beta 90.00
_cell_angle_gamma 90.00
loop_
_space_group_symop_operation_xyz
'x,y,z'
loop_
_atom_site_label
_atom_site_fract_x
_atom_site_fract_y
_atom_site_fract_z
Ge1 0.000 0.000 0.000
La1 0.500 0.500 0.500
V1 0.000 0.500 0.000
V2 0.000 0.000 0.500
V3 0.500 0.000 0.000
# **Theoretical density**: 5.45 g/cm3
# **Distance to the lowest polymorph of the same formula**: 0 meV per atom
# **SG**: Pm-3m, No. 221


# LaVGe3 PBE-GGA relaxed
data_LaVGe3
_space_group_name_H-M_alt 'P 1'
_space_group_IT_number 1
_cell_length_a 5.667
_cell_length_b 6.303
_cell_length_c 6.303
_cell_angle_alpha 120.00
_cell_angle_beta 90.00
_cell_angle_gamma 90.00
loop_
_space_group_symop_operation_xyz
'x,y,z'
loop_
_atom_site_label
_atom_site_fract_x
_atom_site_fract_y
_atom_site_fract_z
Ge1 0.750 0.806 0.612
Ge2 0.250 0.194 0.806
Ge3 0.750 0.806 0.194
Ge4 0.250 0.194 0.388
Ge5 0.250 0.612 0.806
Ge6 0.750 0.388 0.194
V1 0.500 0.000 0.000
V2 0.000 0.000 0.000
La1 0.750 0.333 0.667
La2 0.250 0.667 0.333
# **Theoretical density**: 6.95 g/cm3
# **SG**: P6_3/mmc, No. 194


# LaVGe3 PBE-GGA relaxed
data_LaVGe3
_space_group_name_H-M_alt 'P 1'
_space_group_IT_number 1
_cell_length_a 4.754
_cell_length_b 4.754
_cell_length_c 4.754
_cell_angle_alpha 90.00
_cell_angle_beta 90.00
_cell_angle_gamma 90.00
loop_
_space_group_symop_operation_xyz
'x,y,z'
loop_
_atom_site_label
_atom_site_fract_x
_atom_site_fract_y
_atom_site_fract_z
Ge1 0.000 0.500 0.000
Ge2 0.000 0.000 0.500
Ge3 0.500 0.000 0.000
La1 0.500 0.500 0.500
V1 0.000 0.000 0.000
# **Theoretical density**: 6.30 g/cm3
# **SG**: Pm-3m, No. 221


| no. | formation energy (meV per atom) | D(E_F) (states/eV per cell) |
| --- | --- | --- |
| 1 | 649 | 10.166 |
| 2 | -569 | 2.743 |
| 3 | -349 | 3.162 |